Y4GaSeS2: relaxed, GGA-PBE.

abc: 7.022 3.953 7.065
angles: 90.00 108.81 90.00
Positions (direct):
1 Y 0.242 0.000 0.238
2 Y 0.243 0.500 0.749
3 Y 0.757 0.500 0.251
4 Y 0.758 0.000 0.762
5 Ga 0.500 0.000 0.000
6 Se 0.500 0.500 0.500
7 S 0.000 0.000 0.500
8 S 0.000 0.500 0.000

DOS at the Fermi energy	3.09	states/eV/f.u.
raw formation energy	-1.609	eV/atom